First-principles (GGA-PBE) data for crystalline Nd3YS at its relaxed geometry, as listed in Alexandria via LeMat-Bulk.

Lattice parameters (Å, degrees): 5.5001 5.5001 5.5001 90.00 90.00 90.00
Last column: nearest neighbours and their distance in Å.
Fractional coordinates of all 5 atoms:
Nd  0.0000  0.0000  0.5000  2 S 2.75
Nd  0.0000  0.5000  0.0000  2 S 2.75
Nd  0.5000  0.0000  0.0000  2 S 2.75
Y  0.5000  0.5000  0.5000  12 Nd 3.89
S  0.0000  0.0000  0.0000  6 Nd 2.75

Results
DOS at the Fermi energy	1.1425	states/eV/atom
energy relative to the elements, uncorrected	-0.675	eV per atom
energy	-28.272	eV/cell

=====

First-principles (GGA-PBE) data for crystalline NdY6S8 at its relaxed geometry, as listed in Alexandria via LeMat-Bulk.

Lattice parameters (Å, degrees): 7.8400 7.8400 7.8400 60.00 60.00 60.00
Last column: nearest neighbours and their distance in Å.
Fractional coordinates of all 15 atoms:
Nd  0.0000  0.0000  0.0000  6 S 2.85
Y  0.0000  0.0000  0.5000  6 S 2.77
Y  0.0000  0.5000  0.0000  6 S 2.77
Y  0.0000  0.5000  0.5000  6 S 2.77
Y  0.5000  0.0000  0.0000  6 S 2.77
Y  0.5000  0.0000  0.5000  6 S 2.77
Y  0.5000  0.5000  0.0000  6 S 2.77
S  0.2500  0.2500  0.2500  6 Y 2.77
S  0.2570  0.2570  0.7430  4 Y 2.77, 1 Nd 2.85
S  0.2570  0.7430  0.2570  4 Y 2.77, 1 Nd 2.85
S  0.2570  0.7430  0.7430  4 Y 2.77, 1 Nd 2.85
S  0.7430  0.2570  0.2570  4 Y 2.77, 1 Nd 2.85
S  0.7430  0.2570  0.7430  4 Y 2.77, 1 Nd 2.85
S  0.7430  0.7430  0.2570  4 Y 2.77, 1 Nd 2.85
S  0.7500  0.7500  0.7500  6 Y 2.77

Results
DOS at the Fermi energy	0.4081	states/eV/atom
energy relative to the elements, uncorrected	-2.037	eV per atom
energy	-107.122	eV/cell

=====

First-principles (GGA-PBE) data for crystalline Nd2Y3S4 at its relaxed geometry, as listed in Alexandria via LeMat-Bulk.

Lattice parameters (Å, degrees): 6.8087 6.8087 9.6730 117.44 117.44 33.53
Last column: nearest neighbours and their distance in Å.
Fractional coordinates of all 9 atoms:
Nd  0.0994  0.0994  0.4025  4 S 2.82-2.88
Nd  0.9006  0.9006  0.5975  4 S 2.82-2.88
Y  0.2948  0.2948  0.1958  5 S 2.72-2.79
Y  0.5000  0.5000  0.0000  6 S 2.77-2.78
Y  0.7052  0.7052  0.8042  5 S 2.72-2.79
S  0.1036  0.1036  0.9047  5 Y 2.72-2.79, 1 Nd 2.88
S  0.3016  0.3016  0.7077  3 Y 2.73-2.77, 3 Nd 2.82-2.86
S  0.6984  0.6984  0.2923  3 Y 2.73-2.77, 3 Nd 2.82-2.86
S  0.8964  0.8964  0.0953  5 Y 2.72-2.79, 1 Nd 2.88

Results
DOS at the Fermi energy	0.6011	states/eV/atom
energy relative to the elements, uncorrected	-1.777	eV per atom
energy	-61.434	eV/cell

=====

First-principles (GGA-PBE) data for crystalline Nd3YS4 at its relaxed geometry, as listed in Alexandria via LeMat-Bulk.

Lattice parameters (Å, degrees): 5.7084 5.7084 5.7084 90.00 90.00 90.00
Last column: nearest neighbours and their distance in Å.
Fractional coordinates of all 8 atoms:
Nd  0.0000  0.0000  0.5000  6 S 2.85
Nd  0.0000  0.5000  0.0000  6 S 2.85
Nd  0.5000  0.0000  0.0000  6 S 2.85
Y  0.5000  0.5000  0.5000  6 S 2.85
S  0.0000  0.0000  0.0000  6 Nd 2.85
S  0.0000  0.5000  0.5000  4 Nd 2.85, 2 Y 2.85
S  0.5000  0.0000  0.5000  4 Nd 2.85, 2 Y 2.85
S  0.5000  0.5000  0.0000  4 Nd 2.85, 2 Y 2.85

Results
DOS at the Fermi energy	0.5565	states/eV/atom
energy relative to the elements, uncorrected	-1.995	eV per atom
energy	-53.241	eV/cell

=====

First-principles (GGA-PBE) data for crystalline YbNdS3 at its relaxed geometry, as listed in Alexandria via LeMat-Bulk.

Lattice parameters (Å, degrees): 6.7451 6.7451 9.4142 90.00 90.00 146.27
Last column: nearest neighbours and their distance in Å.
Fractional coordinates of all 10 atoms:
Yb  0.0000  0.0000  0.0000  6 S 2.65-2.78
Yb  0.0000  0.0000  0.5000  6 S 2.65-2.78
Nd  0.2523  0.7477  0.7500  6 S 2.79-2.95
Nd  0.7477  0.2523  0.2500  6 S 2.79-2.95
S  0.0939  0.9061  0.2500  2 Yb 2.65, 2 Nd 2.79
S  0.3550  0.6450  0.0666  2 Yb 2.78, 2 Nd 2.95
S  0.3550  0.6450  0.4334  2 Yb 2.78, 2 Nd 2.95
S  0.6450  0.3550  0.5666  2 Yb 2.78, 2 Nd 2.95
S  0.6450  0.3550  0.9334  2 Yb 2.78, 2 Nd 2.95
S  0.9061  0.0939  0.7500  2 Yb 2.65, 2 Nd 2.79

Results
DOS at the Fermi energy	2.9279	states/eV/atom
energy relative to the elements, uncorrected	-1.829	eV per atom
energy	-55.642	eV/cell

=====

First-principles (GGA-PBE) data for crystalline Nd4Zn2S at its relaxed geometry, as listed in Alexandria via LeMat-Bulk.

Lattice parameters (Å, degrees): 6.9153 6.9153 8.8336 123.50 123.50 34.02
Last column: nearest neighbours and their distance in Å.
Fractional coordinates of all 7 atoms:
Nd  0.0914  0.0914  0.3801  1 S 2.84, 4 Zn 3.17
Nd  0.3286  0.3286  0.9153  2 S 2.80
Nd  0.6714  0.6714  0.0847  2 S 2.80
Nd  0.9086  0.9086  0.6199  1 S 2.84, 4 Zn 3.17
Zn  0.3891  0.3891  0.3271  1 Zn 2.76
Zn  0.6109  0.6109  0.6729  1 Zn 2.76
S  0.0000  0.0000  0.0000  6 Nd 2.80-2.84

Results
DOS at the Fermi energy	1.0499	states/eV/atom
energy relative to the elements, uncorrected	-0.704	eV per atom
energy	-30.678	eV/cell